KBa2Be, relaxed, DFT PBE-GGA; E_form = 294 meV per atom; volume = 188.6 Å³/cell; crystal system = monoclinic; space-group type = P2/m (10); DOS(E_F) = 3.654 states/eV per cell
1.0
4.080 0.000 0.000
0.000 4.083 0.000
-0.027 0.000 11.318
K Ba Be
1 2 1
Direct
0.000 0.000 0.000
0.499 0.500 0.337
0.501 0.500 0.663
0.000 0.000 0.500



La4YTh3Sb8, relaxed, DFT PBE-GGA; E_form (uncorrected) = -1142.1 meV per atom; volume = 533.1 Å³/cell; crystal system = trigonal; space-group type = R-3m (166); DOS(E_F) = 6.717 states/eV per cell
1.0
4.543 2.623 7.455
-4.543 2.623 7.455
0.000 -5.246 7.455
La Y Th Sb
4 1 3 8
Direct
0.000 0.000 0.000
0.000 0.500 0.500
0.500 0.000 0.500
0.500 0.500 0.000
0.500 0.500 0.500
0.000 0.000 0.500
0.000 0.500 0.000
0.500 0.000 0.000
0.248 0.248 0.248
0.250 0.746 0.746
0.254 0.254 0.750
0.254 0.750 0.254
0.746 0.250 0.746
0.746 0.746 0.250
0.750 0.254 0.254
0.752 0.752 0.752



TbGa6Ni6, relaxed, DFT PBE-GGA; E_form = -479 meV per atom; volume = 180.7 Å³/cell; crystal system = orthorhombic; space-group type = Immm (71); DOS(E_F) = 8.589 states/eV per cell
1.0
-2.510 4.141 4.346
2.510 -4.141 4.346
2.510 4.141 -4.346
Tb Ga Ni
1 6 6
Direct
0.000 0.000 0.000
0.186 0.686 0.500
0.343 0.000 0.343
0.345 0.345 0.000
0.655 0.655 0.000
0.657 0.000 0.657
0.814 0.314 0.500
0.000 0.000 0.500
0.000 0.500 0.000
0.238 0.500 0.738
0.500 0.000 0.000
0.500 0.500 0.500
0.762 0.500 0.262



LaCo2Cu2, relaxed, DFT PBE-GGA; E_form = 50 meV per atom; volume = 82.2 Å³/cell; crystal system = tetragonal; space-group type = I4/mmm (139); DOS(E_F) = 6.665 states/eV per cell
1.0
-2.002 2.002 5.124
2.002 -2.002 5.124
2.002 2.002 -5.124
La Co Cu
1 2 2
Direct
0.000 0.000 0.000
0.393 0.393 0.000
0.607 0.607 0.000
0.250 0.750 0.500
0.750 0.250 0.500



YSc2Ni, relaxed, DFT PBE-GGA; E_form = -204 meV per atom; volume = 88.8 Å³/cell; crystal system = orthorhombic; space-group type = Immm (71); DOS(E_F) = 5.707 states/eV per cell
1.0
-1.690 2.517 5.215
1.690 -2.517 5.215
1.690 2.517 -5.215
Y Sc Ni
1 2 1
Direct
0.000 0.000 0.000
0.301 0.801 0.500
0.699 0.199 0.500
0.500 0.500 0.000



Ca4In2Hg5, relaxed, DFT PBE-GGA; E_form = -412 meV per atom; volume = 306.4 Å³/cell; crystal system = monoclinic; space-group type = P2/m (10); DOS(E_F) = 6.131 states/eV per cell
1.0
8.332 0.000 0.000
0.000 3.752 0.000
-1.252 0.000 9.800
Ca In Hg
4 2 5
Direct
0.226 0.000 0.137
0.273 0.000 0.659
0.727 0.000 0.341
0.774 0.000 0.863
0.078 0.500 0.382
0.922 0.500 0.618
0.118 0.500 0.885
0.422 0.500 0.361
0.500 0.500 0.000
0.578 0.500 0.639
0.882 0.500 0.115



TcN, relaxed, DFT PBE-GGA; E_form (uncorrected) = 757.4 meV per atom; volume = 19.3 Å³/cell; crystal system = cubic; space-group type = Pm-3m (221); DOS(E_F) = 0.910 states/eV per cell
1.0
2.681 0.000 0.000
0.000 2.681 0.000
0.000 0.000 2.681
Tc N
1 1
Direct
0.000 0.000 0.000
0.500 0.500 0.500



RuS3Cl, relaxed, DFT PBE-GGA; E_form (uncorrected) = 1582.6 meV per atom; volume = 97.3 Å³/cell; crystal system = cubic; space-group type = Pm-3m (221); DOS(E_F) = 5.416 states/eV per cell
1.0
4.599 0.000 0.000
0.000 4.599 0.000
0.000 0.000 4.599
Ru S Cl
1 3 1
Direct
0.000 0.000 0.000
0.000 0.500 0.500
0.500 0.000 0.500
0.500 0.500 0.000
0.500 0.500 0.500



Ta3Nb6Pd2, relaxed, DFT PBE-GGA; E_form = -9 meV per atom; volume = 203.1 Å³/cell; crystal system = monoclinic; space-group type = C2/m (12); DOS(E_F) = 9.416 states/eV per cell
1.0
2.243 -5.009 0.000
2.243 5.009 0.000
-0.011 0.000 9.037
Ta Nb Pd
3 6 2
Direct
0.000 0.000 0.000
0.331 0.669 0.000
0.669 0.331 0.000
0.166 0.833 0.731
0.167 0.834 0.269
0.500 0.500 0.249
0.500 0.500 0.751
0.833 0.166 0.731
0.834 0.167 0.269
0.352 0.648 0.500
0.648 0.352 0.500



Al2ZnGa4, relaxed, DFT PBE-GGA; E_form = 127 meV per atom; volume = 530.5 Å³/cell; crystal system = cubic; space-group type = Fd-3m (227); DOS(E_F) = 12.341 states/eV per cell
1.0
0.000 6.425 6.425
6.425 0.000 6.425
6.425 6.425 0.000
Al Zn Ga
8 4 16
Direct
0.142 0.786 0.786
0.214 0.214 0.214
0.214 0.214 0.858
0.214 0.858 0.214
0.786 0.142 0.786
0.786 0.786 0.142
0.786 0.786 0.786
0.858 0.214 0.214
0.000 0.500 0.500
0.500 0.000 0.500
0.500 0.500 0.000
0.500 0.500 0.500
0.000 0.000 0.000
0.000 0.000 0.500
0.000 0.500 0.000
0.148 0.148 0.602
0.148 0.602 0.148
0.148 0.602 0.602
0.398 0.398 0.852
0.398 0.852 0.398
0.398 0.852 0.852
0.500 0.000 0.000
0.602 0.148 0.148
0.602 0.148 0.602
0.602 0.602 0.148
0.852 0.398 0.398
0.852 0.398 0.852
0.852 0.852 0.398



KGeN, relaxed, DFT PBE-GGA; E_form (uncorrected) = 7.3 meV per atom; volume = 104.8 Å³/cell; crystal system = hexagonal; space-group type = P6_3mc (186)
1.0
3.212 0.000 0.000
-1.606 2.782 0.000
0.000 0.000 11.728
K Ge N
2 2 2
Direct
0.333 0.667 0.000
0.667 0.333 0.500
0.000 0.000 0.250
0.000 0.000 0.750
0.333 0.667 0.328
0.667 0.333 0.828



TbDy2In, relaxed, DFT PBE-GGA; E_form = -231 meV per atom; volume = 118.0 Å³/cell; crystal system = tetragonal; space-group type = P4/mmm (123); DOS(E_F) = 4.212 states/eV per cell
1.0
3.580 0.000 0.000
0.000 3.580 0.000
0.000 0.000 9.206
Tb Dy In
1 2 1
Direct
0.000 0.000 0.000
0.500 0.500 0.273
0.500 0.500 0.727
0.000 0.000 0.500



> The lowest volume belongs to which entry?

TcN



> Which of these has the lowest volume?

TcN



> Look up the volume of the ninth one.

203.1 Å³/cell